[1]
Cs2FeN: relaxed, PBE.

a b c (Å): 5.215 5.215 5.215
angles (deg): 60.00 60.00 60.00
Each line ends with the local moment (μB).
Element x y z (fractional)
Cs: 0.250 0.250 0.250  0.05
Cs: 0.750 0.750 0.750  0.05
Fe: 0.500 0.500 0.500  3.20
N: 0.000 0.000 0.000  1.00

Output
Symmetry = Fm-3m (225)
E = -11.58 eV/cell

***

[2]
La4Pr2Ag: relaxed, PBE.

a b c (Å): 3.786 8.528 9.368
angles (deg): 123.11 101.66 90.00
Element x y z (fractional)
La: 0.449 0.651 0.897
La: 0.551 0.349 0.103
La: 0.849 0.187 0.698
La: 0.151 0.813 0.302
Ag: 0.000 0.000 0.000
Pr: 0.793 0.713 0.587
Pr: 0.207 0.287 0.413

Output
ΔE_f = 0.026 eV/atom
Symmetry = C2/m (12)
E = -31.93 eV/cell

***

[3]
ReSbIr2: relaxed, PBE.

a b c (Å): 4.899 4.899 4.899
angles (deg): 131.90 131.89 70.39
Element x y z (fractional)
Ir: 0.500 0.500 0.000
Ir: 0.000 0.000 0.000
Re: 0.750 0.250 0.500
Sb: 0.250 0.750 0.500

Output
Symmetry = I4/mmm (139)
E = -33.13 eV/cell

***

[4]
Sm2TiSi4Ir3: relaxed, PBE.

a b c (Å): 4.125 4.125 10.383
angles (deg): 90.00 90.00 90.00
Element x y z (fractional)
Sm: 0.500 0.000 0.243
Sm: 0.000 0.500 0.757
Si: 0.000 0.000 0.000
Si: 0.000 0.500 0.356
Si: 0.500 0.000 0.644
Si: 0.500 0.500 0.000
Ir: 0.000 0.000 0.500
Ir: 0.500 0.000 0.878
Ir: 0.000 0.500 0.122
Ti: 0.500 0.500 0.500

Output
Symmetry = P-4m2 (115)
E = -75.01 eV/cell

***

[5]
TlIrW: relaxed, PBE.

a b c (Å): 4.601 4.601 2.846
angles (deg): 90.00 90.00 120.00
Element x y z (fractional)
Tl: 0.667 0.333 0.167
Ir: 0.000 0.000 0.166
W: 0.333 0.667 0.667

Output
ΔE_f = 0.724 eV/atom
Symmetry = P-6m2 (187)
E = -22.01 eV/cell

***

[6]
CaPm4Ir2: relaxed, PBE.

a b c (Å): 6.718 9.169 7.339
angles (deg): 113.12 90.00 90.00
Element x y z (fractional)
Pm: 0.998 0.556 0.278
Pm: 0.750 0.002 0.337
Pm: 0.750 0.791 0.750
Pm: 0.498 0.444 0.722
Pm: 0.250 0.209 0.250
Pm: 0.250 0.998 0.663
Pm: 0.002 0.444 0.722
Pm: 0.502 0.556 0.278
Ca: 0.250 0.795 0.044
Ca: 0.750 0.205 0.956
Ir: 0.250 0.327 0.962
Ir: 0.750 0.331 0.377
Ir: 0.750 0.673 0.038
Ir: 0.250 0.669 0.623

Output
ΔE_f = -0.415 eV/atom
Symmetry = P2_1/m (11)
Energy above the lowest structure with this stoichiometry = 0 meV per atom
E = -83.26 eV/cell

***

[7]
Nd3YEr2S6: relaxed, PBE.

a b c (Å): 6.837 6.837 6.985
angles (deg): 99.38 99.38 120.16
Element x y z (fractional)
S: 0.923 0.586 0.768
S: 0.260 0.260 0.769
S: 0.077 0.414 0.232
S: 0.740 0.740 0.231
S: 0.414 0.077 0.232
S: 0.586 0.923 0.768
Nd: 0.835 0.165 0.500
Nd: 0.165 0.835 0.500
Nd: 0.500 0.500 0.500
Er: 0.667 0.333 0.000
Er: 0.333 0.667 0.000
Y: 0.000 0.000 0.000

Output
Symmetry = C2/m (12)
E = -78.74 eV/cell

***

[8]
LaTaCl: relaxed, PBE.

a b c (Å): 4.932 4.932 3.225
angles (deg): 90.00 90.00 120.00
Element x y z (fractional)
La: 0.667 0.333 0.333
Ta: 0.333 0.667 0.833
Cl: 0.000 0.000 0.833

Output
Symmetry = P-6m2 (187)
Energy above the lowest structure with this stoichiometry = 380 meV per atom
E = -17.90 eV/cell

***

[9]
Zr6Tl2Pd: relaxed, PBE.

a b c (Å): 3.457 8.228 8.229
angles (deg): 120.00 90.00 90.00
Element x y z (fractional)
Zr: 0.000 0.000 0.258
Zr: 0.000 0.742 0.742
Zr: 0.000 0.258 0.000
Zr: 0.500 0.607 0.000
Zr: 0.500 0.393 0.392
Zr: 0.500 0.000 0.608
Tl: 0.000 0.667 0.333
Tl: 0.000 0.333 0.667
Pd: 0.500 0.000 0.000

Output
ΔE_f = -0.195 eV/atom
Symmetry = P-62m (189)
E = -62.97 eV/cell

***

[10]
Cd8Ag3Au: relaxed, PBE.

a b c (Å): 8.517 9.241 8.518
angles (deg): 39.18 133.00 140.82
Element x y z (fractional)
Ag: 0.750 0.500 0.750
Ag: 0.250 0.500 0.250
Ag: 0.500 0.000 0.500
Cd: 0.346 0.499 0.654
Cd: 0.903 0.000 0.596
Cd: 0.154 0.499 0.847
Cd: 0.846 0.501 0.153
Cd: 0.404 0.000 0.097
Cd: 0.596 0.000 0.903
Cd: 0.097 0.000 0.404
Cd: 0.654 0.501 0.346
Au: 0.000 0.000 0.000

Output
ΔE_f = -0.029 eV/atom
Symmetry = Fmmm (69)
E = -19.50 eV/cell

***

[11]
LaPb2Br: relaxed, PBE.

a b c (Å): 6.063 6.063 3.602
angles (deg): 90.00 90.00 113.10
Element x y z (fractional)
Br: 0.500 0.000 0.500
Pb: 0.000 0.000 0.000
Pb: 0.500 0.500 0.000
La: 0.000 0.500 0.500

Output
Symmetry = Cmmm (65)
Energy above the lowest structure with this stoichiometry = 303 meV per atom
E = -15.99 eV/cell

***

[12]
Ba3In6Pt5: relaxed, PBE.

a b c (Å): 4.543 11.397 14.059
angles (deg): 90.00 90.00 90.00
Element x y z (fractional)
Ba: 0.000 0.245 0.654
Ba: 0.000 0.270 0.000
Ba: 0.000 0.245 0.346
Ba: 0.500 0.755 0.846
Ba: 0.500 0.730 0.500
Ba: 0.500 0.755 0.154
In: 0.500 0.989 0.328
In: 0.500 0.030 0.000
In: 0.500 0.521 0.000
In: 0.000 0.593 0.302
In: 0.000 0.479 0.500
In: 0.500 0.407 0.198
In: 0.000 0.011 0.172
In: 0.000 0.011 0.828
In: 0.000 0.593 0.698
In: 0.500 0.989 0.672
In: 0.500 0.407 0.802
In: 0.000 0.970 0.500
Pt: 0.000 0.845 0.675
Pt: 0.000 0.525 0.888
Pt: 0.500 0.155 0.175
Pt: 0.000 0.845 0.325
Pt: 0.500 0.475 0.612
Pt: 0.000 0.525 0.112
Pt: 0.500 0.475 0.388
Pt: 0.500 0.155 0.825
Pt: 0.500 0.102 0.500
Pt: 0.000 0.898 0.000

Output
ΔE_f = -0.626 eV/atom
Symmetry = Pmmn (59)
E = -122.32 eV/cell